Here is crystalline LaAl2Ga at its relaxed geometry from Alexandria via LeMat-Bulk. Energies are from PBE.

a = 4.5237 Å, b = 5.9720 Å, c = 6.9758 Å
α = 90.00°, β = 90.00°, γ = 112.26°
Fractional coordinates of all 8 atoms:
1 La 0.7587 0.5174 0.5000
2 La 0.5726 0.1453 0.0000
3 Al 0.0518 0.1035 0.6882
4 Al 0.0518 0.1035 0.3118
5 Al 0.8632 0.7264 0.0000
6 Al 0.4726 0.9452 0.5000
7 Ga 0.2790 0.5581 0.8113
8 Ga 0.2790 0.5581 0.1887

## Properties
DFT total energy   -4.284 eV/atom
SG   No. 38

Here is crystalline GdTaNiRu at its relaxed geometry from Alexandria via LeMat-Bulk. Energies are from PBE.

a = 4.6181 Å, b = 4.6181 Å, c = 4.6181 Å
α = 60.00°, β = 60.00°, γ = 60.00°
Fractional coordinates of all 4 atoms:
1 Ru 0.7500 0.7500 0.7500
2 Gd 0.5000 0.5000 0.5000
3 Ni 0.2500 0.2500 0.2500
4 Ta 0.0000 0.0000 0.0000

## Properties
DFT total energy   -10.352 eV/atom
SG   No. 216

Here is crystalline Cu2SbS2 at its relaxed geometry from Alexandria via LeMat-Bulk. Energies are from PBE.

a = 6.7873 Å, b = 6.7873 Å, c = 6.0449 Å
α = 109.87°, β = 109.87°, γ = 111.40°
Fractional coordinates of all 10 atoms:
1 Cu 0.2276 0.9806 0.4611
2 Cu 0.4806 0.7276 0.9611
3 Cu 0.7724 0.0194 0.5389
4 Cu 0.5194 0.2724 0.0389
5 Sb 0.7761 0.7239 0.7500
6 Sb 0.2239 0.2761 0.2500
7 S 0.1946 0.3054 0.7500
8 S 0.4556 0.0444 0.2500
9 S 0.5444 0.9556 0.7500
10 S 0.8054 0.6946 0.2500

## Properties
Polymorph energy (0 for the lowest one)   4 meV per atom
SG   No. 15
Raw formation energy   -0.022 eV per atom

Here is crystalline LuPb2 at its relaxed geometry from Alexandria via LeMat-Bulk. Energies are from PBE.

a = 6.3976 Å, b = 6.3976 Å, c = 6.3976 Å
α = 60.00°, β = 60.00°, γ = 60.00°
Fractional coordinates of all 6 atoms:
1 Pb 0.1250 0.6250 0.6250
2 Pb 0.6250 0.1250 0.6250
3 Pb 0.6250 0.6250 0.6250
4 Pb 0.6250 0.6250 0.1250
5 Lu 0.0000 0.0000 0.0000
6 Lu 0.2500 0.2500 0.2500

## Properties
DFT total energy   -3.916 eV/atom
SG   No. 227